{
  "formula": "Sm2CSe",
  "functional": "PBE",
  "state": "optimized geometry",
  "lattice": [[-2.840, 1.918, 1.722], [-2.590, -1.889, 2.106], [2.150, 0.835, 6.887]],
  "species": ["Sm", "Sm", "C", "Se"],
  "fractional_positions": [[0.067, 0.067, 0.798], [0.266, 0.266, 0.202], [0.668, 0.668, 0.997], [0.499, 0.499, 0.502]],
  "final_energy_ev_per_atom": -6.546,
  "dos_ef_per_ev_atom": 0.02,
  "crystal_system": "trigonal"
}